(1)
The following is a DFT calculation (PBE) of a relaxed Nd2ZnPd6 crystal.

Computed properties:
final energy: -5.375 eV/atom
DOS(E_F): 0.34 states/eV per atom
magnetic moment: 0.00 μB per formula unit
space-group type: No. 12
formation energy: -0.712 eV/atom
polymorph energy (0 for the lowest one): 15 meV/atom
mass density: 9.67 Mg/m³

abc: 5.729 5.729 6.148
angles: 102.18 102.18 60.59
Sites, in units of the cell vectors:
1 Nd 0.144 0.144 0.335
2 Nd 0.856 0.856 0.665
3 Zn 0.500 0.500 0.500
4 Pd 0.109 0.630 0.182
5 Pd 0.370 0.891 0.818
6 Pd 0.374 0.374 0.807
7 Pd 0.626 0.626 0.193
8 Pd 0.630 0.109 0.182
9 Pd 0.891 0.370 0.818

***

(2)
The following is a DFT calculation (PBE) of a relaxed Nd3Zn8Pd crystal.

Computed properties:
final energy: -2.802 eV/atom
DOS(E_F): 0.58 states/eV per atom
magnetic moment: 0.00 μB per formula unit
space-group type: No. 160
formation energy: -0.328 eV/atom
mass density: 7.65 Mg/m³

abc: 9.683 9.683 9.683
angles: 32.31 32.31 32.31
Sites, in units of the cell vectors:
1 Nd 0.000 0.000 0.000
2 Nd 0.128 0.128 0.128
3 Nd 0.512 0.512 0.512
4 Zn 0.063 0.566 0.566
5 Zn 0.070 0.070 0.569
6 Zn 0.070 0.569 0.070
7 Zn 0.316 0.316 0.316
8 Zn 0.566 0.063 0.566
9 Zn 0.566 0.566 0.063
10 Zn 0.569 0.070 0.070
11 Zn 0.819 0.819 0.819
12 Pd 0.623 0.623 0.623